1.
A crystal of Fe2HW relaxed with PBEsol. Source: Alexandria, functional meta-GGA SCAN.

The structure in POSCAR format:
```
Fe2HW
1.0
0.000 2.758 2.758
2.758 0.000 2.758
2.758 2.758 0.000
Fe H W
2 1 1
Cartesian
1.379 1.379 1.379 Fe
4.138 4.138 4.138 Fe
0.000 0.000 0.000 H
2.758 2.758 2.758 W
```

Computed properties:
As for the space-group type: Fm-3m (225).

---

2.
A crystal of TiAl2SbS relaxed with PBEsol. Source: Alexandria, functional meta-GGA SCAN.

The structure in POSCAR format:
```
TiAl2SbS
1.0
5.086 0.000 0.000
0.000 5.086 0.000
0.000 0.000 5.023
Ti Al Sb S
1 2 1 1
Cartesian
0.000 0.000 0.000 Ti
0.000 2.543 0.000 Al
2.543 0.000 0.000 Al
0.000 0.000 2.512 Sb
2.543 2.543 2.512 S
```

Computed properties:
The calculation puts the uncorrected formation energy at 0.790 eV per atom. As for the space-group type: P4/mmm (123).

---

3.
A crystal of PBr2N relaxed with PBEsol. Source: Alexandria, functional meta-GGA SCAN.

The structure in POSCAR format:
```
PBr2N
1.0
9.745 0.000 0.000
-0.926 10.486 0.000
-4.871 -2.772 11.086
P Br N
10 20 10
Cartesian
-1.212 2.209 4.368 P
-0.213 4.378 2.785 P
0.214 -0.384 3.886 P
2.129 -0.235 1.753 P
2.008 2.700 1.846 P
1.941 5.014 9.239 P
1.820 7.949 9.333 P
3.734 8.098 7.200 P
4.161 3.336 8.300 P
5.161 5.505 6.718 P
-3.454 -1.180 8.054 Br
-3.961 2.561 9.553 Br
0.478 8.973 0.149 Br
-2.618 5.907 7.613 Br
-1.608 2.089 6.510 Br
0.828 6.179 3.456 Br
0.442 -1.169 5.910 Br
3.475 3.749 0.566 Br
0.585 -2.111 9.247 Br
0.981 4.947 7.260 Br
2.967 2.767 3.825 Br
3.363 9.824 1.838 Br
0.473 3.965 10.520 Br
3.507 8.883 5.176 Br
3.120 1.535 7.630 Br
5.556 5.625 4.576 Br
6.566 1.807 3.472 Br
3.470 -1.259 10.937 Br
7.909 5.153 1.533 Br
7.403 8.894 3.032 Br
-0.779 3.711 4.103 N
-0.153 1.146 3.890 N
0.661 3.518 1.782 N
1.877 1.244 1.262 N
1.578 -0.723 3.153 N
2.370 8.437 7.933 N
2.071 6.470 9.824 N
3.287 4.196 9.304 N
4.101 6.568 7.196 N
4.728 4.003 6.983 N
```

Computed properties:
The calculation puts the uncorrected formation energy at -0.429 eV per atom. As for the space-group type: P-1 (2). The energy relative to the lowest polymorph listed for this composition comes out at 0.0 meV per atom.

---

4.
A crystal of Cu2PbBr2 relaxed with PBEsol. Source: Alexandria, functional meta-GGA SCAN.

The structure in POSCAR format:
```
Cu2PbBr2
1.0
-1.775 1.775 9.086
1.775 -1.775 9.086
1.775 1.775 -9.086
Cu Pb Br
2 1 2
Cartesian
1.775 0.000 4.543 Cu
0.000 1.775 4.543 Cu
0.000 0.000 0.000 Pb
0.000 0.000 6.353 Br
0.000 0.000 11.819 Br
```

Computed properties:
The calculation puts the uncorrected formation energy at 0.025 eV per atom. As for the space-group type: I4/mmm (139).

---

5.
A crystal of Al2InSe relaxed with PBEsol. Source: Alexandria, functional meta-GGA SCAN.

The structure in POSCAR format:
```
Al2InSe
1.0
3.152 -3.654 0.000
3.152 3.654 0.000
0.000 0.000 3.496
Al In Se
2 1 1
Cartesian
1.576 1.827 0.000 Al
1.576 -1.827 0.000 Al
0.000 0.000 1.748 In
3.152 0.000 1.748 Se
```

Computed properties:
The calculation puts the uncorrected formation energy at 0.133 eV per atom. As for the space-group type: Cmmm (65). The energy relative to the lowest polymorph listed for this composition comes out at 84.8 meV per atom.

---

6.
A crystal of DyInO3 relaxed with PBEsol. Source: Alexandria, functional meta-GGA SCAN.

The structure in POSCAR format:
```
DyInO3
1.0
5.798 0.000 0.000
0.000 8.090 0.000
0.000 0.000 5.458
Dy In O
4 4 12
Cartesian
0.387 2.022 0.132 Dy
2.511 6.067 2.861 Dy
3.286 2.022 2.597 Dy
5.410 6.067 5.326 Dy
0.000 0.000 2.729 In
0.000 4.045 2.729 In
2.899 0.000 0.000 In
2.899 4.045 0.000 In
0.404 6.067 1.931 O
1.106 4.659 4.438 O
1.106 7.476 4.438 O
1.793 0.614 1.709 O
1.793 3.431 1.709 O
2.495 2.022 4.660 O
3.303 6.067 0.799 O
4.005 4.659 3.750 O
4.005 7.476 3.750 O
4.692 0.614 1.020 O
4.692 3.431 1.020 O
5.393 2.022 3.528 O
```

Computed properties:
The calculation puts the uncorrected formation energy at -2.821 eV per atom. As for the space-group type: Pnma (62).

---

7.
A crystal of DyGaCo relaxed with PBEsol. Source: Alexandria, functional meta-GGA SCAN.

The structure in POSCAR format:
```
DyGaCo
1.0
6.945 0.000 0.000
0.000 4.362 0.000
0.000 0.000 6.673
Dy Ga Co
4 4 4
Cartesian
0.182 1.091 1.292 Dy
3.291 3.272 4.629 Dy
3.654 1.091 2.045 Dy
6.763 3.272 5.381 Dy
1.349 1.091 4.069 Ga
2.123 3.272 0.733 Ga
4.822 1.091 5.941 Ga
5.596 3.272 2.604 Ga
1.049 3.272 2.926 Co
2.423 1.091 6.262 Co
4.522 3.272 0.411 Co
5.896 1.091 3.748 Co
```

Computed properties:
As for the space-group type: Pnma (62).

---

8.
A crystal of GdSi2Ir2 relaxed with PBEsol. Source: Alexandria, functional meta-GGA SCAN.

The structure in POSCAR format:
```
GdSi2Ir2
1.0
-2.023 2.023 4.976
2.023 -2.023 4.976
2.023 2.023 -4.976
Gd Si Ir
1 2 2
Cartesian
0.000 0.000 0.000 Gd
0.000 0.000 3.766 Si
0.000 0.000 6.185 Si
2.023 0.000 2.488 Ir
0.000 2.023 2.488 Ir
```

Computed properties:
The calculation puts the uncorrected formation energy at -1.198 eV per atom. As for the space-group type: I4/mmm (139).

---

9.
A crystal of AgBiAu3 relaxed with PBEsol. Source: Alexandria, functional meta-GGA SCAN.

The structure in POSCAR format:
```
AgBiAu3
1.0
5.256 0.000 0.000
0.000 5.256 0.000
0.000 0.000 5.256
Ag Bi Au
1 1 3
Cartesian
0.000 0.000 0.000 Ag
2.628 2.628 2.628 Bi
0.000 2.628 2.628 Au
2.628 0.000 2.628 Au
2.628 2.628 0.000 Au
```

Computed properties:
As for the space-group type: Pm-3m (221).

---

10.
A crystal of ZrIr2Os relaxed with PBEsol. Source: Alexandria, functional meta-GGA SCAN.

The structure in POSCAR format:
```
ZrIr2Os
1.0
4.744 0.000 0.000
0.000 2.829 0.000
-1.471 0.000 4.550
Zr Ir Os
1 2 1
Cartesian
0.000 0.000 0.000 Zr
-0.736 1.415 2.275 Ir
1.636 0.000 2.275 Ir
2.372 1.415 0.000 Os
```

Computed properties:
As for the space-group type: P2/m (10). The energy relative to the lowest polymorph listed for this composition comes out at 266.8 meV per atom.

---

11.
A crystal of GaPbF3 relaxed with PBEsol. Source: Alexandria, functional meta-GGA SCAN.

The structure in POSCAR format:
```
GaPbF3
1.0
4.267 0.000 0.000
0.000 4.267 0.000
0.000 0.000 4.267
Ga Pb F
1 1 3
Cartesian
0.000 0.000 0.000 Ga
2.133 2.133 2.133 Pb
0.000 0.000 2.133 F
0.000 2.133 0.000 F
2.133 0.000 0.000 F
```

Computed properties:
The calculation puts the uncorrected formation energy at -1.731 eV per atom. As for the space-group type: Pm-3m (221).

---

12.
A crystal of SbBr2N relaxed with PBEsol. Source: Alexandria, functional meta-GGA SCAN.

The structure in POSCAR format:
```
SbBr2N
1.0
-3.154 3.154 4.987
3.154 -3.154 4.987
3.154 3.154 -4.987
Sb Br N
2 4 2
Cartesian
3.154 1.577 1.247 Sb
0.000 1.577 3.740 Sb
0.000 0.000 0.000 Br
1.577 1.577 -2.493 Br
1.577 -1.577 2.493 Br
0.000 3.154 0.000 Br
3.154 -1.577 3.740 N
0.000 4.731 1.247 N
```

Computed properties:
The calculation puts the uncorrected formation energy at 1.199 eV per atom. As for the space-group type: I4_1/amd (141). The energy relative to the lowest polymorph listed for this composition comes out at 122.6 meV per atom.

---

Calculated values (kg/m3) of density for the records, taken in order: 11731; 3267; 3002; 7168; 5109; 8440; 9565; 12190; 10381; 18108; 7138; 4947.
Calculated values (μB per atom) of magnetic moment for the records, taken in order: 0.07; 0.40; 0.00; 0.00; 0.00; 0.00; 0.00; 1.44; 0.00; 0.00; 0.00; 0.00.
Calculated values (eV/cell) of energy for the records, taken in order: -105.928; -74.471; -603.241; -144.972; -68.436; -455.926; -331.695; -227.035; -313.598; -246.248; -111.401; -161.350.